Compound: ScSn2Hg2
Source: Alexandria via LeMat-Bulk
Functional: GGA-PBE
Structure: relaxed

Summary:
ΔE_f ... -0.19 eV/f.u.
Energy above the lowest structure with this stoichiometry ... 0 meV per atom
DOS at the Fermi energy ... 5.909 states/eV per cell

Cell: 8.0142 8.0142 3.9054 Å, 90.00 90.00 90.00°
With the nearest neighbours (Å) after each atom.
Space group P4/mbm (No. 127)
Symmetry-distinct sites (fractional):
Sc 0.0000 0.0000 0.0000  4 Hg 3.14
Sn 0.1731 0.3269 0.5000  6 Hg 2.95-3.14
Hg 0.1316 0.6316 0.0000  6 Sn 2.95-3.14, 1 Hg 2.98, 2 Sc 3.14

---

Compound: Sc5TaRu6
Source: Alexandria via LeMat-Bulk
Functional: GGA-PBE
Structure: relaxed

Summary:
ΔE_f ... -7.18 eV/f.u.
DOS at the Fermi energy ... 17.983 states/eV per cell

Cell: 4.5266 13.5436 6.4179 Å, 90.00 90.00 90.00°
With the nearest neighbours (Å) after each atom.
Space group Cmmm (No. 65)
Symmetry-distinct sites (fractional):
Sc 0.0000 0.0000 0.0000  8 Ru 2.74-2.81
Sc 0.0000 0.3321 0.5000  8 Ru 2.75-2.79
Sc 0.0000 0.3335 0.0000  8 Ru 2.79-2.83
Ta 0.0000 0.0000 0.5000  8 Ru 2.71-2.74
Ru 0.0000 0.1625 0.2546  1 Ta 2.71, 7 Sc 2.74-2.83
Ru 0.0000 0.5000 0.2591  2 Ta 2.74, 6 Sc 2.75-2.81

---

Compound: Pr3DyZn8
Source: Alexandria via LeMat-Bulk
Functional: GGA-PBE
Structure: relaxed

Summary:
ΔE_f ... -3.77 eV/f.u.
Energy above the lowest structure with this stoichiometry ... 0 meV per atom
DOS at the Fermi energy ... 15.404 states/eV per cell

Cell: 5.5832 5.5832 27.2217 Å, 90.00 90.00 120.00°
With the nearest neighbours (Å) after each atom.
Space group R3m (No. 160, hexagonal axes)
Symmetry-distinct sites (fractional):
Pr 0.0000 0.0000 0.0000  12 Zn 3.24-3.28, 1 Pr 3.40, 3 Dy 3.43
Pr 0.0000 0.0000 0.1249  12 Zn 3.27-3.29, 4 Pr 3.40-3.41
Pr 0.0000 0.0000 0.4989  12 Zn 3.27-3.29, 1 Dy 3.39, 3 Pr 3.41
Dy 0.0000 0.0000 0.6236  12 Zn 3.24-3.28, 4 Pr 3.39-3.43
Zn 0.0000 0.0000 0.3119  6 Zn 2.76
Zn 0.0000 0.0000 0.8116  6 Zn 2.80-2.81
Zn 0.0017 0.5008 0.5631  6 Zn 2.76-2.81
Zn 0.1679 0.3358 0.3940  6 Zn 2.76-2.81

---

Compound: CoTc2SbMo
Source: Alexandria via LeMat-Bulk
Functional: GGA-PBE
Structure: relaxed

Summary:
ΔE_f (raw) ... 1.32 eV/atom
DOS at the Fermi energy ... 8.138 states/eV per cell

Cell: 4.4072 4.4072 4.6069 Å, 90.00 90.00 90.00°
With the nearest neighbours (Å) after each atom.
Space group P4/mmm (No. 123)
Symmetry-distinct sites (fractional):
Co 0.0000 0.0000 0.0000  4 Tc 2.20, 2 Sb 2.30
Tc 0.0000 0.5000 0.0000  2 Co 2.20
Sb 0.0000 0.0000 0.5000  2 Co 2.30
Mo 0.5000 0.5000 0.5000  4 Sb 3.12, 8 Tc 3.19

---

Compound: Ce8AsOs3I4
Source: Alexandria via LeMat-Bulk
Functional: GGA-PBE
Structure: relaxed

Summary:
ΔE_f (raw) ... -0.74 eV/atom
DOS at the Fermi energy ... 135.991 states/eV per cell

Cell: 8.4036 8.4036 23.4554 Å, 90.00 90.00 120.00°
With the nearest neighbours (Å) after each atom.
Space group R-3m (No. 166, hexagonal axes)
Symmetry-distinct sites (fractional):
Ce 0.0000 0.0000 0.2293  3 Os 2.84
Ce 0.0160 0.5080 0.7709  2 Os 2.79, 1 As 2.93
As 0.0000 0.0000 0.5000  6 Ce 2.93
Os 0.0000 0.5000 0.5000  6 Ce 2.79-2.84
I 0.0000 0.0000 0.0000  6 Ce 3.36
I 0.0000 0.5000 0.0000  6 Ce 3.44-3.49

---

Compound: YMg2Cu2Ge2
Source: Alexandria via LeMat-Bulk
Functional: GGA-PBE
Structure: relaxed

Summary:
ΔE_f ... -2.77 eV/f.u.
DOS at the Fermi energy ... 4.242 states/eV per cell

Cell: 4.2616 4.2616 24.3183 Å, 90.00 90.00 120.00°
With the nearest neighbours (Å) after each atom.
Space group R-3m (No. 166, hexagonal axes)
Symmetry-distinct sites (fractional):
Y 0.0000 0.0000 0.0000  6 Ge 3.08, 6 Cu 3.16, 2 Mg 3.26
Mg 0.0000 0.0000 0.1341  3 Cu 2.77, 4 Ge 2.83-2.99, 3 Mg 2.93
Cu 0.0000 0.0000 0.4150  3 Ge 2.46
Ge 0.0000 0.0000 0.2570  3 Cu 2.46

---

Compound: YSbRu
Source: Alexandria via LeMat-Bulk
Functional: GGA-PBE
Structure: relaxed

Summary:
ΔE_f (raw) ... -0.54 eV/atom
DOS at the Fermi energy ... 2.616 states/eV per cell

Cell: 4.6033 4.6033 3.5187 Å, 90.00 90.00 120.00°
With the nearest neighbours (Å) after each atom.
Space group P-6m2 (No. 187)
Symmetry-distinct sites (fractional):
Y 0.0000 0.0000 0.0000  6 Ru 3.19, 6 Sb 3.19, 2 Y 3.52
Sb 0.3333 0.6667 0.5000  3 Ru 2.66
Ru 0.6667 0.3333 0.5000  3 Sb 2.66

---

Compound: Nd6Y2Tm3Mg
Source: Alexandria via LeMat-Bulk
Functional: GGA-PBE
Structure: relaxed

Summary:
ΔE_f ... 0.25 eV/f.u.
DOS at the Fermi energy ... 25.104 states/eV per cell

Cell: 6.2186 10.7769 11.7714 Å, 90.00 100.17 90.00°
With the nearest neighbours (Å) after each atom.
Space group C2/m (No. 12)
Symmetry-distinct sites (fractional):
Nd 0.2488 0.0000 0.2481  3 Tm 3.54-3.55, 6 Nd 3.58-3.60, 1 Mg 3.58, 2 Y 3.58
Nd 0.2492 0.1660 0.7511  3 Tm 3.55-3.56, 1 Mg 3.57, 2 Y 3.57-3.58, 6 Nd 3.58-3.60
Y 0.0000 0.3334 0.5000  6 Nd 3.57-3.58, 3 Mg 3.59, 3 Y 3.59
Tm 0.0000 0.1666 0.0000  6 Nd 3.54-3.56, 6 Tm 3.59
Tm 0.0000 0.5000 0.0000  6 Nd 3.55, 6 Tm 3.59
Mg 0.0000 0.0000 0.5000  6 Nd 3.57-3.58, 6 Y 3.59

---

Copy entry 5 word for word.
Compound: Ce8AsOs3I4
Source: Alexandria via LeMat-Bulk
Functional: GGA-PBE
Structure: relaxed

Summary:
ΔE_f (raw) ... -0.74 eV/atom
DOS at the Fermi energy ... 135.991 states/eV per cell

Cell: 8.4036 8.4036 23.4554 Å, 90.00 90.00 120.00°
With the nearest neighbours (Å) after each atom.
Space group R-3m (No. 166, hexagonal axes)
Symmetry-distinct sites (fractional):
Ce 0.0000 0.0000 0.2293  3 Os 2.84
Ce 0.0160 0.5080 0.7709  2 Os 2.79, 1 As 2.93
As 0.0000 0.0000 0.5000  6 Ce 2.93
Os 0.0000 0.5000 0.5000  6 Ce 2.79-2.84
I 0.0000 0.0000 0.0000  6 Ce 3.36
I 0.0000 0.5000 0.0000  6 Ce 3.44-3.49